# HoFe3B4O12 PBE+U relaxed
# SG: R32
# DOS(E_F), states/eV per cell: 0.0
# Raw total energy, Ry/atom: -0.5608
# Crystal system: trigonal
# Magnetization, μB/atom: 0.750
data_HoFe3B4O12
_chemical_formula_sum 'Ho1 Fe3 B4 O12'
_cell_length_a 6.112
_cell_length_b 6.112
_cell_length_c 6.112
_cell_angle_alpha 103.86
_cell_angle_beta 103.86
_cell_angle_gamma 103.86
_space_group_name_H-M_alt 'P 1'
_space_group_IT_number 1
loop_
_space_group_symop_operation_xyz
'x,y,z'
loop_
_atom_site_label
_atom_site_fract_x
_atom_site_fract_y
_atom_site_fract_z
Ho1 0.500 0.500 0.500
Fe1 0.049 0.951 0.500
Fe2 0.951 0.500 0.049
Fe3 0.500 0.049 0.951
B1 0.449 0.551 0.000
B2 0.551 0.000 0.449
B3 0.000 0.449 0.551
B4 0.000 0.000 0.000
O1 0.297 0.529 0.134
O2 0.529 0.134 0.297
O3 0.703 0.866 0.471
O4 0.134 0.297 0.529
O5 0.471 0.703 0.866
O6 0.866 0.471 0.703
O7 0.856 0.144 0.000
O8 0.144 0.000 0.856
O9 0.000 0.856 0.144
O10 0.593 0.407 0.000
O11 0.407 0.000 0.593
O12 0.000 0.593 0.407